Material: AlTc2Br
Method: DFT, PBE
State: optimized geometry

CIF file:
```
data_AlTc2Br
_chemical_formula_sum 'Al1 Tc2 Br1'
_symmetry_space_group_name_H-M 'P 1'
_symmetry_Int_Tables_number 1
_cell_length_a 4.6780
_cell_length_b 4.6780
_cell_length_c 7.3436
_cell_angle_alpha 118.88
_cell_angle_beta 118.88
_cell_angle_gamma 36.58
loop_
_symmetry_equiv_pos_as_xyz
'x,y,z'
loop_
_atom_site_label
_atom_site_fract_x
_atom_site_fract_y
_atom_site_fract_z
Al1 0.0000 0.0000 0.0000
Tc1 0.2170 0.2170 0.8422
Tc2 0.7830 0.7830 0.1578
Br1 0.5000 0.5000 0.5000
```

Values from the calculation:
V   82 Å³ per cell
E_form (uncorrected)   397 meV per atom
Space group   C2/m, No. 12
Energy   -24.56 eV for the cell shown